A plane-wave DFT calculation with PBE+U was carried out for an optimized crystal structure of PmCo2RuO6.

calculated volume = 11.400 A^3/atom
E = -68.75 eV per formula unit
space group = R3 (146)

Lattice parameters (Å, degrees): 5.281 5.281 5.620 61.98 61.98 60.00
Last column: magnetic moment on the atom in μB.
Atoms (fractional coordinates):
Co1 0.528 0.528 0.417  2.67
O1 0.338 0.737 0.764  0.08
Ru1 0.324 0.324 0.029  1.44
Pm1 0.793 0.793 0.620  0.03
O2 0.737 0.161 0.764  0.08
O3 0.624 0.236 0.224  0.10
O4 0.161 0.338 0.764  0.08
O5 0.236 0.917 0.224  0.10
O6 0.917 0.624 0.224  0.10
Co2 0.005 0.005 0.984  0.15